[1]
# Sr2AcPm (PBE, relaxed)
# ΔE_f	0.195	eV/atom
data_Sr2AcPm
_chemical_formula_sum 'Sr2 Ac1 Pm1'
_symmetry_space_group_name_H-M 'P 4/m m m'
_symmetry_Int_Tables_number 123
_symmetry_space_group_name_Hall '-P 4 2'
_cell_length_a 4.4462
_cell_length_b 4.4462
_cell_length_c 9.1235
_cell_angle_alpha 90.00
_cell_angle_beta 90.00
_cell_angle_gamma 90.00
loop_
_atom_site_label
_atom_site_fract_x
_atom_site_fract_y
_atom_site_fract_z
Sr1 0.0000 0.0000 0.2342
Ac1 0.5000 0.5000 0.5000
Pm1 0.5000 0.5000 0.0000

[2]
# SrAcPm (PBE, relaxed)
# ΔE_f	0.074	eV/atom
data_SrAcPm
_chemical_formula_sum 'Sr4 Ac4 Pm4'
_symmetry_space_group_name_H-M 'C m c m'
_symmetry_Int_Tables_number 63
_symmetry_space_group_name_Hall '-C 2c 2'
_cell_length_a 5.4844
_cell_length_b 17.0437
_cell_length_c 5.5764
_cell_angle_alpha 90.00
_cell_angle_beta 90.00
_cell_angle_gamma 90.00
loop_
_atom_site_label
_atom_site_fract_x
_atom_site_fract_y
_atom_site_fract_z
Sr1 0.0000 0.2488 0.2500
Ac1 0.0000 0.0742 0.7500
Pm1 0.0000 0.4288 0.7500

Number 1: E above lowest polymorph 27 meV/atom, DOS at the Fermi energy 1.659 states/eV per atom. Number 2: E above lowest polymorph 3 meV/atom, DOS at the Fermi energy 1.302 states/eV per atom.